Material: ZnGa4Pd2
Method: DFT, PBE-GGA
State: optimized geometry

Properties
DFT formation energy   -0.332 eV/atom
Crystal system   trigonal
Total moment   0.00 μB per atom
Energy   -26.092 eV per cell
Symmetry   R-3m (166)
Excess energy over the best structure of this formula in the dataset   0.0 kJ per mole of atoms

Cell lengths 4.030, 4.030, 9.242 Å; angles 77.41, 77.41, 60.00 degrees
Fractional positions:
Pd (0.096, 0.096, 0.711)
Pd (0.904, 0.904, 0.289)
Ga (0.805, 0.805, 0.586)
Ga (0.613, 0.613, 0.162)
Ga (0.387, 0.387, 0.838)
Ga (0.195, 0.195, 0.414)
Zn (0.000, 0.000, 0.000)